! AgGeAu2 | Alexandria via LeMat-Bulk | GGA-PBE | optimized geometry; values from VASP
&SYSTEM
  ibrav = 0, nat = 16, ntyp = 3
/
ATOMIC_SPECIES
Ag 107.87 Ag.upf
Ge 72.64 Ge.upf
Au 196.97 Au.upf
CELL_PARAMETERS angstrom
-2.554 -4.992 0.745
6.723 -3.025 2.776
-1.751 1.826 6.231
ATOMIC_POSITIONS crystal
Ag 0.321 0.250 0.019
Ag 0.821 0.750 0.481
Ag 0.679 0.750 0.981
Ag 0.179 0.250 0.519
Ge 0.684 0.250 0.413
Ge 0.184 0.750 0.087
Ge 0.316 0.750 0.587
Ge 0.816 0.250 0.913
Au 0.960 0.026 0.220
Au 0.460 0.974 0.280
Au 0.040 0.526 0.780
Au 0.540 0.474 0.720
Au 0.040 0.974 0.780
Au 0.540 0.026 0.720
Au 0.960 0.474 0.220
Au 0.460 0.526 0.280
! - magnetic moment (μB/f.u.) = 0.0
! - energy relative to the elements (kJ/mol of atoms) = 4.5
! - crystal system = orthorhombic
! - DOS(E_F) (states/eV/cell) = 5.72